Entry from Alexandria via LeMat-Bulk: MgAsIr2 after structural relaxation (PBEsol).

```
data_MgAsIr2
_chemical_formula_sum 'Mg4 As4 Ir8'
_space_group_name_H-M_alt 'F -4 3 m'
_space_group_IT_number 216
_space_group_name_Hall 'F -4 2 3'
_cell_length_a 6.256
_cell_length_b 6.256
_cell_length_c 6.256
_cell_angle_alpha 90.00
_cell_angle_beta 90.00
_cell_angle_gamma 90.00
loop_
_atom_site_label
_atom_site_fract_x
_atom_site_fract_y
_atom_site_fract_z
_atom_site_occupancy
Mg1 0.000 0.000 0.000 1
As1 0.250 0.250 0.250 1
Ir1 0.000 0.000 0.500 1
Ir2 0.250 0.250 0.750 1
```

Summary:
The value obtained for the final energy is -102.91 eV/cell. For the density of states at the Fermi level, the calculation gives 4.5 states/eV/f.u. The value obtained for the total magnetization is 0.002 μB per formula unit. For the energy of formation from the pure elements, the calculation gives 0.1857 eV per atom. The energy above the most stable polymorph in this dataset is 359 meV per atom.


Entry from Alexandria via LeMat-Bulk: CuRh2W after structural relaxation (PBEsol).

```
data_CuRh2W
_chemical_formula_sum 'Cu2 Rh4 W2'
_space_group_name_H-M_alt 'C 1 2/m 1'
_space_group_IT_number 12
_cell_length_a 5.355
_cell_length_b 8.643
_cell_length_c 2.664
_cell_angle_alpha 90.00
_cell_angle_beta 117.00
_cell_angle_gamma 90.00
loop_
_space_group_symop_operation_xyz
'x,y,z'
'-x,-y,-z'
'-x,y,-z'
'x,-y,z'
'x+1/2,y+1/2,z'
'-x+1/2,-y+1/2,-z'
'-x+1/2,y+1/2,-z'
'x+1/2,-y+1/2,z'
loop_
_atom_site_label
_atom_site_fract_x
_atom_site_fract_y
_atom_site_fract_z
_atom_site_occupancy
Cu1 0.000 0.000 0.000 1
Rh1 0.250 0.250 0.500 1
W1 0.000 0.500 0.000 1
```

Summary:
The value obtained for the final energy is -67.59 eV/cell. For the density of states at the Fermi level, the calculation gives 2.8 states/eV/f.u. The value obtained for the total magnetization is 0.000 μB per formula unit. For the energy of formation from the pure elements, the calculation gives 0.1554 eV per atom. The energy above the most stable polymorph in this dataset is 308 meV per atom.


Entry from Alexandria via LeMat-Bulk: KHgW3 after structural relaxation (PBEsol).

```
data_KHgW3
_chemical_formula_sum 'K1 Hg1 W3'
_space_group_name_H-M_alt 'P m -3 m'
_space_group_IT_number 221
_space_group_name_Hall '-P 4 2 3'
_cell_length_a 4.508
_cell_length_b 4.508
_cell_length_c 4.508
_cell_angle_alpha 90.00
_cell_angle_beta 90.00
_cell_angle_gamma 90.00
loop_
_atom_site_label
_atom_site_fract_x
_atom_site_fract_y
_atom_site_fract_z
_atom_site_occupancy
K1 0.000 0.000 0.000 1
Hg1 0.500 0.500 0.500 1
W1 0.000 0.000 0.500 1
```

Summary:
The value obtained for the final energy is -25.32 eV/cell. For the density of states at the Fermi level, the calculation gives 3.6 states/eV/f.u. The value obtained for the total magnetization is 0.000 μB per formula unit. For the energy of formation from the pure elements, the calculation gives 3.5598 eV per atom.


Entry from Alexandria via LeMat-Bulk: CaBeAgPb2 after structural relaxation (PBEsol).

```
data_CaBeAgPb2
_chemical_formula_sum 'Ca1 Be1 Ag1 Pb2'
_space_group_name_H-M_alt 'P 4/m m m'
_space_group_IT_number 123
_space_group_name_Hall '-P 4 2'
_cell_length_a 4.860
_cell_length_b 4.860
_cell_length_c 5.318
_cell_angle_alpha 90.00
_cell_angle_beta 90.00
_cell_angle_gamma 90.00
loop_
_atom_site_label
_atom_site_fract_x
_atom_site_fract_y
_atom_site_fract_z
_atom_site_occupancy
Ca1 0.000 0.000 0.000 1
Be1 0.000 0.000 0.500 1
Ag1 0.500 0.500 0.000 1
Pb1 0.000 0.500 0.500 1
```

Summary:
The value obtained for the final energy is -16.01 eV/cell. For the density of states at the Fermi level, the calculation gives 2.4 states/eV/f.u. The value obtained for the total magnetization is 0.000 μB per formula unit. For the energy of formation from the pure elements, the calculation gives 0.2869 eV per atom.


Entry from Alexandria via LeMat-Bulk: MgAlTl2Cu after structural relaxation (PBEsol).

```
data_MgAlTl2Cu
_chemical_formula_sum 'Mg1 Al1 Tl2 Cu1'
_space_group_name_H-M_alt 'P 4/m m m'
_space_group_IT_number 123
_space_group_name_Hall '-P 4 2'
_cell_length_a 5.312
_cell_length_b 5.312
_cell_length_c 5.089
_cell_angle_alpha 90.00
_cell_angle_beta 90.00
_cell_angle_gamma 90.00
loop_
_atom_site_label
_atom_site_fract_x
_atom_site_fract_y
_atom_site_fract_z
_atom_site_occupancy
Mg1 0.000 0.000 0.000 1
Al1 0.000 0.000 0.500 1
Tl1 0.000 0.500 0.000 1
Cu1 0.500 0.500 0.500 1
```

Summary:
The value obtained for the final energy is -10.88 eV/cell. For the density of states at the Fermi level, the calculation gives 2.4 states/eV/f.u. The value obtained for the total magnetization is 0.000 μB per formula unit. For the energy of formation from the pure elements, the calculation gives 0.9036 eV per atom.


Entry from Alexandria via LeMat-Bulk: ReBiSbI2 after structural relaxation (PBEsol).

```
data_ReBiSbI2
_chemical_formula_sum 'Re1 Bi1 Sb1 I2'
_space_group_name_H-M_alt 'P 4/m m m'
_space_group_IT_number 123
_space_group_name_Hall '-P 4 2'
_cell_length_a 5.313
_cell_length_b 5.313
_cell_length_c 5.156
_cell_angle_alpha 90.00
_cell_angle_beta 90.00
_cell_angle_gamma 90.00
loop_
_atom_site_label
_atom_site_fract_x
_atom_site_fract_y
_atom_site_fract_z
_atom_site_occupancy
Re1 0.000 0.000 0.000 1
Bi1 0.500 0.500 0.500 1
Sb1 0.000 0.000 0.500 1
I1 0.000 0.500 0.000 1
```

Summary:
The value obtained for the final energy is -21.79 eV/cell. For the density of states at the Fermi level, the calculation gives 6.7 states/eV/f.u. The value obtained for the total magnetization is 0.005 μB per formula unit. The uncorrected formation energy comes out at 3.92 eV per formula unit.


Entry from Alexandria via LeMat-Bulk: Li4MnOF5 after structural relaxation (PBEsol).

```
data_Li4MnOF5
_chemical_formula_sum 'Li8 Mn2 O2 F10'
_space_group_name_H-M_alt 'C 1 2/m 1'
_space_group_IT_number 12
_cell_length_a 9.709
_cell_length_b 3.736
_cell_length_c 6.201
_cell_angle_alpha 90.00
_cell_angle_beta 111.43
_cell_angle_gamma 90.00
loop_
_space_group_symop_operation_xyz
'x,y,z'
'-x,-y,-z'
'-x,y,-z'
'x,-y,z'
'x+1/2,y+1/2,z'
'-x+1/2,-y+1/2,-z'
'-x+1/2,y+1/2,-z'
'x+1/2,-y+1/2,z'
loop_
_atom_site_label
_atom_site_fract_x
_atom_site_fract_y
_atom_site_fract_z
_atom_site_occupancy
Li1 0.146 0.000 0.374 1
Li2 0.154 0.000 0.800 1
Mn1 0.000 0.500 0.000 1
O1 0.000 0.000 0.000 1
F1 0.000 0.000 0.500 1
F2 0.151 0.500 0.873 1
F3 0.189 0.500 0.327 1
```

Summary:
The value obtained for the final energy is -122.74 eV/cell. For the density of states at the Fermi level, the calculation gives 0.6 states/eV/f.u. The value obtained for the total magnetization is 4.000 μB per formula unit. The energy above the most stable polymorph in this dataset is 0 meV per atom. The uncorrected formation energy comes out at -28.86 eV per formula unit.


Entry from Alexandria via LeMat-Bulk: TaReB2As after structural relaxation (PBEsol).

```
data_TaReB2As
_chemical_formula_sum 'Ta1 Re1 B2 As1'
_space_group_name_H-M_alt 'P 4/m m m'
_space_group_IT_number 123
_space_group_name_Hall '-P 4 2'
_cell_length_a 3.961
_cell_length_b 3.961
_cell_length_c 4.901
_cell_angle_alpha 90.00
_cell_angle_beta 90.00
_cell_angle_gamma 90.00
loop_
_atom_site_label
_atom_site_fract_x
_atom_site_fract_y
_atom_site_fract_z
_atom_site_occupancy
Ta1 0.000 0.000 0.000 1
Re1 0.500 0.500 0.500 1
B1 0.000 0.500 0.500 1
As1 0.500 0.500 0.000 1
```

Summary:
The value obtained for the final energy is -38.70 eV/cell. For the density of states at the Fermi level, the calculation gives 4.9 states/eV/f.u. The value obtained for the total magnetization is 0.023 μB per formula unit. For the energy of formation from the pure elements, the calculation gives 1.2640 eV per atom.


Entry from Alexandria via LeMat-Bulk: LaScBr2 after structural relaxation (PBEsol).

```
data_LaScBr2
_chemical_formula_sum 'La1 Sc1 Br2'
_space_group_name_H-M_alt 'P m m m'
_space_group_IT_number 47
_cell_length_a 3.615
_cell_length_b 3.840
_cell_length_c 7.181
_cell_angle_alpha 90.00
_cell_angle_beta 90.00
_cell_angle_gamma 90.00
loop_
_space_group_symop_operation_xyz
'x,y,z'
'-x,-y,-z'
'-x,-y,z'
'x,y,-z'
'x,-y,-z'
'-x,y,z'
'-x,y,-z'
'x,-y,z'
loop_
_atom_site_label
_atom_site_fract_x
_atom_site_fract_y
_atom_site_fract_z
_atom_site_occupancy
La1 0.000 0.000 0.000 1
Sc1 0.500 0.000 0.500 1
Br1 0.500 0.500 0.227 1
```

Summary:
The value obtained for the final energy is -19.85 eV/cell. For the density of states at the Fermi level, the calculation gives 3.9 states/eV/f.u. The value obtained for the total magnetization is 0.000 μB per formula unit. The energy above the most stable polymorph in this dataset is 61 meV per atom. The uncorrected formation energy comes out at -4.16 eV per formula unit.


Entry from Alexandria via LeMat-Bulk: LiLaNi4 after structural relaxation (PBEsol).

```
data_LiLaNi4
_chemical_formula_sum 'Li4 La4 Ni16'
_space_group_name_H-M_alt 'F -4 3 m'
_space_group_IT_number 216
_space_group_name_Hall 'F -4 2 3'
_cell_length_a 6.925
_cell_length_b 6.925
_cell_length_c 6.925
_cell_angle_alpha 90.00
_cell_angle_beta 90.00
_cell_angle_gamma 90.00
loop_
_atom_site_label
_atom_site_fract_x
_atom_site_fract_y
_atom_site_fract_z
_atom_site_occupancy
Li1 0.000 0.000 0.000 1
La1 0.250 0.250 0.750 1
Ni1 0.126 0.126 0.374 1
```

Summary:
The value obtained for the final energy is -133.92 eV/cell. For the density of states at the Fermi level, the calculation gives 4.2 states/eV/f.u. The value obtained for the total magnetization is 0.001 μB per formula unit. For the energy of formation from the pure elements, the calculation gives -0.2561 eV per atom.


Entry from Alexandria via LeMat-Bulk: Be2TcCl after structural relaxation (PBEsol).

```
data_Be2TcCl
_chemical_formula_sum 'Be4 Tc2 Cl2'
_space_group_name_H-M_alt 'C 1 m 1'
_space_group_IT_number 8
_cell_length_a 7.540
_cell_length_b 2.753
_cell_length_c 5.697
_cell_angle_alpha 90.00
_cell_angle_beta 97.44
_cell_angle_gamma 90.00
loop_
_space_group_symop_operation_xyz
'x,y,z'
'x,-y,z'
'x+1/2,y+1/2,z'
'x+1/2,-y+1/2,z'
loop_
_atom_site_label
_atom_site_fract_x
_atom_site_fract_y
_atom_site_fract_z
_atom_site_occupancy
Be1 0.000 0.000 0.000 1
Be2 0.239 0.500 0.177 1
Tc1 0.478 0.000 0.320 1
Cl1 0.069 0.000 0.667 1
```

Summary:
The value obtained for the final energy is -41.33 eV/cell. For the density of states at the Fermi level, the calculation gives 1.3 states/eV/f.u. The value obtained for the total magnetization is 0.000 μB per formula unit. The uncorrected formation energy comes out at 0.61 eV per formula unit.


Entry from Alexandria via LeMat-Bulk: Y2PCl after structural relaxation (PBEsol).

```
data_Y2PCl
_chemical_formula_sum 'Y2 P1 Cl1'
_space_group_name_H-M_alt 'P 4/m m m'
_space_group_IT_number 123
_space_group_name_Hall '-P 4 2'
_cell_length_a 3.905
_cell_length_b 3.905
_cell_length_c 5.504
_cell_angle_alpha 90.00
_cell_angle_beta 90.00
_cell_angle_gamma 90.00
loop_
_atom_site_label
_atom_site_fract_x
_atom_site_fract_y
_atom_site_fract_z
_atom_site_occupancy
Y1 0.000 0.000 0.000 1
Y2 0.500 0.500 0.500 1
P1 0.000 0.000 0.500 1
Cl1 0.500 0.500 0.000 1
```

Summary:
The value obtained for the final energy is -27.69 eV/cell. For the density of states at the Fermi level, the calculation gives 1.7 states/eV/f.u. The value obtained for the total magnetization is 0.000 μB per formula unit. The uncorrected formation energy comes out at -6.25 eV per formula unit.